First-principles (PBE) data for a geometry-optimized CaTb2I8 structure, as listed in the Alexandria database.

Geometry as CIF:
```
data_CaTb2I8
_chemical_formula_sum 'Ca1 Tb2 I8'
_cell_length_a 7.7211
_cell_length_b 9.4675
_cell_length_c 9.4675
_cell_angle_alpha 71.43
_cell_angle_beta 83.79
_cell_angle_gamma 83.79
_space_group_name_H-M_alt 'P 1'
_space_group_IT_number 1
loop_
_space_group_symop_operation_xyz
'x,y,z'
loop_
_atom_site_label
_atom_site_type_symbol
_atom_site_fract_x
_atom_site_fract_y
_atom_site_fract_z
_atom_site_occupancy
I1 I 0.2119 0.3631 0.3631 1
Ca1 Ca 0.0000 0.0000 0.0000 1
Tb1 Tb 0.3559 0.1844 0.1844 1
I2 I 0.2207 0.2847 0.8884 1
I3 I 0.7793 0.7153 0.1116 1
I4 I 0.2630 0.8207 0.8207 1
I5 I 0.7370 0.1793 0.1793 1
I6 I 0.7793 0.1116 0.7153 1
I7 I 0.7881 0.6369 0.6369 1
Tb2 Tb 0.6441 0.8156 0.8156 1
I8 I 0.2207 0.8884 0.2847 1
```

Output
- Space group: C2/m, No. 12
- DFT total energy: -3.471 eV/atom
- Total magnetization: 0.00 μB per cell